VASP calculation (PBE-GGA) on crystalline TbTiCo2 at its relaxed geometry.

Cell lengths 3.0900, 3.0900, 6.6176 Å; angles 90.00, 90.00, 90.00 degrees
Fractional coordinates of all 4 atoms:
Co: 0.0000 0.0000 0.2042
Tb: 0.5000 0.5000 0.5000
Co: 0.0000 0.0000 0.7958
Ti: 0.5000 0.5000 0.0000

Properties
**Space group**: P4/mmm (123)
**Raw total energy**: -0.2538 Ha/atom